Material: PrMgPt
Method: DFT, meta-GGA SCAN
State: single point on PBEsol structure

```
PrMgPt
1.0
4.1017 0.0000 0.0000
0.0000 7.5151 0.0000
0.0000 -3.7575 6.5083
Pr Mg Pt
3 3 3
Direct
0.0000 0.5877 0.0000 Pr
0.0000 0.4123 0.4123 Pr
0.0000 0.0000 0.5877 Pr
0.5000 0.0000 0.2406 Mg
0.5000 0.2406 0.0000 Mg
0.5000 0.7594 0.7594 Mg
0.0000 0.0000 0.0000 Pt
0.5000 0.3333 0.6667 Pt
0.5000 0.6667 0.3333 Pt
```

Values from the calculation:
calculated formation energy: -1.068 eV/atom
D(E_F): 0.71 states/eV/atom
total magnetization: 0.0000 μB/atom
final energy: -40.57 eV/atom